Density functional theory data (PBE) for a geometry-optimized CrIn3 structure.

Cell lengths 7.1521, 7.1521, 7.1521 Å; angles 155.21, 141.69, 46.17 degrees
With the nearest neighbours (Å) after each atom.
Fractional coordinates of all 4 atoms:
Cr1 0.0000 0.0000 0.0000  8 In 2.80-2.90, 2 Cr 3.07
In1 0.1873 0.6873 0.5000  2 Cr 2.90, 2 In 3.07
In2 0.5000 0.5000 0.0000  4 Cr 2.80, 2 In 3.07
In3 0.8127 0.3127 0.5000  2 Cr 2.90, 2 In 3.07

Total energy = -16.92 eV for the cell shown
Symmetry = Immm
Magnetic moment = 0.828 μB per atom
ΔE_f = 231 meV/atom